This record from Alexandria via LeMat-Bulk describes crystalline Tb2Tm12Th5 at its relaxed geometry. The functional is GGA-PBE.

Properties
DOS(E_F) in states/eV/f.u.: 30.29
DFT formation energy in kJ per mole of atoms: 16
Mass density in g cm⁻³: 9.555
Magnetic moment in Bohr magnetons per cell: 0.0

abc: 21.7273 6.9182 8.5703
angles: 90.00 108.97 90.00
With the nearest neighbours (Å) after each atom.
Space group C2/m (No. 12)
Asymmetric unit:
Tb 0.0000 0.2456 0.0000 [4 per cell]  6 Tm 3.35-3.57, 2 Tb 3.40-3.52, 2 Th 3.56
Tm 0.0470 0.0000 0.6894 [4 per cell]  3 Tm 3.23-3.61, 1 Th 3.45, 2 Tb 3.57
Tm 0.1083 0.2414 0.3811 [8 per cell]  6 Tm 3.34-3.72, 1 Tb 3.35, 4 Th 3.37-3.39
Tm 0.1497 0.5000 0.0792 [4 per cell]  3 Th 3.46-3.49, 6 Tm 3.49-3.52, 2 Tb 3.56
Tm 0.2010 0.2482 0.7901 [8 per cell]  7 Tm 3.43-3.61, 4 Th 3.44-3.55
Th 0.0000 0.5000 0.5000 [2 per cell]  4 Tm 3.37
Th 0.1514 0.0000 0.0912 [4 per cell]  9 Tm 3.37-3.55, 1 Th 3.53, 2 Tb 3.56
Th 0.2479 0.5000 0.4926 [4 per cell]  9 Tm 3.38-3.50, 3 Th 3.46-3.53